{
  "formula": "Ac2DyHo",
  "functional": "PBE",
  "state": "relaxed",
  "space_group": "Fm-3m (225)",
  "delta_e_f_ev_per_atom": 0.0940,
  "density_g_cm3": 8.59,
  "lattice": [[0.000, 4.226, 4.226], [4.226, 0.000, 4.226], [4.226, 4.226, 0.000]],
  "species": ["Ac", "Ac", "Dy", "Ho"],
  "frac_coords": [[0.250, 0.250, 0.250], [0.750, 0.750, 0.750], [0.000, 0.000, 0.000], [0.500, 0.500, 0.500]]
}